Density functional theory data (PBE) for a relaxed ScTl2Sb crystal.

Summary:
Uncorrected formation energy ... -0.231 eV/atom
DOS(E_F) ... 0.533 states/eV/atom
Total magnetization ... 0.000 μB/cell

Lattice parameters (Å, degrees): 7.5341 7.5341 4.2174 106.17 106.17 30.86
Positions (direct):
Sc  0.0000  0.0000  0.0000
Tl  0.3062  0.3062  0.8061
Tl  0.6938  0.6938  0.1939
Sb  0.5000  0.5000  0.5000